PBE-GGA La2DyTl, relaxed; formation energy = -0.15 eV/atom; E_tot = -17.41 eV/cell; SG = No. 123
1.0
3.757 0.000 0.000
0.000 3.757 0.000
0.000 0.000 9.466
Tl La Dy
1 2 1
direct
0.500 0.500 0.000
0.000 0.000 0.768
0.000 0.000 0.232
0.500 0.500 0.500